Entry 1:
This record from the Open Quantum Materials Database describes Rb2AgPbBr6 after structural relaxation. The functional is PBE. Values from VASP.

Output
As for the calculated total energy: -2.900 eV/atom.

Structure (Quantum ESPRESSO input):
```
&SYSTEM
  ibrav = 0, nat = 10, ntyp = 4
/
ATOMIC_SPECIES
Rb 85.47 Rb.upf
Ag 107.87 Ag.upf
Pb 207.20 Pb.upf
Br 79.90 Br.upf
ATOMIC_POSITIONS angstrom
Rb 2.8248 2.8248 2.8248
Rb 8.4743 8.4743 8.4743
Ag 0.0000 0.0000 0.0000
Pb 5.6495 5.6495 5.6495
Br 5.6495 5.6495 2.7565
Br 5.6495 2.7565 5.6495
Br 8.5426 5.6495 5.6495
Br 2.7565 5.6495 5.6495
Br 5.6495 8.5426 5.6495
Br 5.6495 5.6495 8.5426
CELL_PARAMETERS angstrom
0.0000 5.6495 5.6495
5.6495 0.0000 5.6495
5.6495 5.6495 0.0000
```

Entry 2:
This record from the Open Quantum Materials Database describes Tl2AgPbBr6 after structural relaxation. The functional is PBE. Values from VASP.

Output
As for the calculated total energy: -2.770 eV/atom.

Structure (Quantum ESPRESSO input):
```
&SYSTEM
  ibrav = 0, nat = 10, ntyp = 4
/
ATOMIC_SPECIES
Tl 204.38 Tl.upf
Ag 107.87 Ag.upf
Pb 207.20 Pb.upf
Br 79.90 Br.upf
ATOMIC_POSITIONS angstrom
Tl 2.8028 2.8028 2.8028
Tl 8.4084 8.4084 8.4084
Ag 0.0000 0.0000 0.0000
Pb 5.6056 5.6056 5.6056
Br 5.6056 5.6056 2.7335
Br 5.6056 2.7335 5.6056
Br 8.4777 5.6056 5.6056
Br 2.7335 5.6056 5.6056
Br 5.6056 8.4777 5.6056
Br 5.6056 5.6056 8.4777
CELL_PARAMETERS angstrom
0.0000 5.6056 5.6056
5.6056 0.0000 5.6056
5.6056 5.6056 0.0000
```

Entry 3:
This record from the Open Quantum Materials Database describes Ag2PdBr4 after structural relaxation. The functional is PBE. Values from VASP.

Output
As for the calculated total energy: -2.815 eV/atom.

Structure (Quantum ESPRESSO input):
```
&SYSTEM
  ibrav = 0, nat = 14, ntyp = 3
/
ATOMIC_SPECIES
Ag 107.87 Ag.upf
Pd 106.42 Pd.upf
Br 79.90 Br.upf
ATOMIC_POSITIONS angstrom
Ag 2.6564 1.8982 2.0968
Ag 2.6564 -1.8982 6.2904
Ag 7.9691 1.8982 2.0968
Ag 7.9691 -1.8982 6.2904
Pd 0.0000 0.0000 0.0000
Pd 5.3127 0.0000 4.1936
Br 5.3127 2.5465 1.8269
Br 2.4712 0.0000 0.0000
Br 2.8416 0.0000 4.1936
Br 5.3127 1.6634 6.0205
Br 5.3127 -1.6634 2.3667
Br 7.7839 0.0000 4.1936
Br 8.1543 0.0000 0.0000
Br 5.3127 -2.5465 6.5603
CELL_PARAMETERS angstrom
5.3127 -4.2099 0.0000
5.3127 4.2099 0.0000
0.0000 0.0000 8.3872
```

Entry 4:
This record from the Open Quantum Materials Database describes Ag2PdBr6 after structural relaxation. The functional is PBE. Values from VASP.

Output
As for the calculated total energy: -2.598 eV/atom.

Structure (Quantum ESPRESSO input):
```
&SYSTEM
  ibrav = 0, nat = 18, ntyp = 3
/
ATOMIC_SPECIES
Ag 107.87 Ag.upf
Pd 106.42 Pd.upf
Br 79.90 Br.upf
ATOMIC_POSITIONS angstrom
Ag 0.0019 0.0090 2.1077
Ag -3.4721 3.2217 7.8609
Ag 3.4764 3.2398 3.6456
Ag 0.0024 6.4525 9.3988
Pd 3.4761 0.0000 0.0000
Pd 0.0022 3.2307 5.7532
Br -4.5410 1.4523 9.7116
Br -1.0670 1.7784 3.9584
Br -2.0648 4.6387 5.7594
Br 1.4092 5.0535 0.0062
Br 1.0635 4.6916 3.9592
Br -2.4105 5.0007 9.7125
Br 2.4148 1.4608 1.7940
Br -1.0592 1.7699 7.5473
Br -1.4048 1.4080 11.5003
Br 2.0692 1.8228 5.7470
Br 1.0714 4.6831 7.5481
Br 4.5453 5.0092 1.7949
CELL_PARAMETERS angstrom
6.9523 0.0000 0.0000
0.0000 6.4615 0.0000
-6.9480 0.0000 11.5065
```

Entry 5:
This record from the Open Quantum Materials Database describes Tl2AgPdBr6 after structural relaxation. The functional is PBE. Values from VASP.

Output
The relative energy among the computed polymorphs is 0.000 eV/atom.

Structure (Quantum ESPRESSO input):
```
&SYSTEM
  ibrav = 0, nat = 20, ntyp = 4
/
ATOMIC_SPECIES
Tl 204.38 Tl.upf
Ag 107.87 Ag.upf
Pd 106.42 Pd.upf
Br 79.90 Br.upf
ATOMIC_POSITIONS angstrom
Tl -0.0930 0.4524 2.6660
Tl -3.7757 3.2921 7.9862
Tl 3.8183 4.1969 2.6542
Tl 0.1357 7.0366 7.9743
Ag -3.6827 0.0000 5.3202
Ag 0.0000 3.7445 0.0000
Pd 3.7040 0.0000 0.0000
Pd 0.0213 3.7445 5.3202
Br -5.7124 1.4996 10.2966
Br -2.0298 2.2449 4.9765
Br -5.1846 5.3421 10.3943
Br -1.5020 5.8914 5.0741
Br 0.4268 3.8338 2.7794
Br -3.2558 7.3997 8.0995
Br 3.2985 0.0893 2.5408
Br -0.3841 3.6552 7.8610
Br 1.5447 1.5976 5.5662
Br 5.2273 2.1469 0.2460
Br 2.0725 5.2441 5.6639
Br 5.7551 5.9894 0.3437
CELL_PARAMETERS angstrom
7.4080 0.0000 0.0000
0.0000 7.4890 0.0000
-7.3653 0.0000 10.6403
```

Entry 6:
This record from the Open Quantum Materials Database describes Tl2AgPdBr6 after structural relaxation. The functional is PBE. Values from VASP.

Output
The relative energy among the computed polymorphs is 0.005 eV/atom.

Structure (Quantum ESPRESSO input):
```
&SYSTEM
  ibrav = 0, nat = 10, ntyp = 4
/
ATOMIC_SPECIES
Tl 204.38 Tl.upf
Ag 107.87 Ag.upf
Pd 106.42 Pd.upf
Br 79.90 Br.upf
ATOMIC_POSITIONS angstrom
Tl 3.6800 0.0000 2.6940
Tl 0.0000 3.6800 2.6940
Ag 0.0000 0.0000 0.0000
Pd 0.0000 0.0000 5.3879
Br 5.1277 1.5523 0.0000
Br 0.0000 0.0000 2.8062
Br 1.5523 2.2323 0.0000
Br 2.1277 1.4477 5.3879
Br 0.0000 0.0000 7.9696
Br -1.4477 2.1277 5.3879
CELL_PARAMETERS angstrom
-3.6800 3.6800 5.3879
3.6800 -3.6800 5.3879
3.6800 3.6800 -5.3879
```

Entry 7:
This record from the Open Quantum Materials Database describes Ag2PtBr6 after structural relaxation. The functional is PBE. Values from VASP.

Output
As for the calculated total energy: -2.723 eV/atom.

Structure (Quantum ESPRESSO input):
```
&SYSTEM
  ibrav = 0, nat = 18, ntyp = 3
/
ATOMIC_SPECIES
Ag 107.87 Ag.upf
Pt 195.08 Pt.upf
Br 79.90 Br.upf
ATOMIC_POSITIONS angstrom
Ag 0.0016 0.0064 2.0972
Ag -3.4948 3.2664 7.8475
Ag 3.5034 3.2792 3.6531
Ag 0.0070 6.5392 9.4035
Pt 3.5007 0.0000 0.0000
Pt 0.0043 3.2728 5.7503
Br -1.0872 4.6770 3.9656
Br -4.5836 5.1415 9.7159
Br 1.4809 1.4615 0.0016
Br -2.0155 1.8114 5.7520
Br -1.0959 4.6910 7.5178
Br 2.4005 5.1274 1.7675
Br -2.3919 1.4182 9.7332
Br 1.1045 1.8546 3.9829
Br 2.0242 4.7343 5.7487
Br -1.4722 5.0842 11.4990
Br 4.5923 1.4042 1.7847
Br 1.0959 1.8687 7.5350
CELL_PARAMETERS angstrom
7.0015 0.0000 0.0000
0.0000 6.5456 0.0000
-6.9928 0.0000 11.5007
```

Entry 8:
This record from the Open Quantum Materials Database describes AgPtBr6 after structural relaxation. The functional is PBE. Values from VASP.

Output
The relative energy among the computed polymorphs is 0.000 eV/atom.

Structure (Quantum ESPRESSO input):
```
&SYSTEM
  ibrav = 0, nat = 8, ntyp = 3
/
ATOMIC_SPECIES
Ag 107.87 Ag.upf
Pt 195.08 Pt.upf
Br 79.90 Br.upf
ATOMIC_POSITIONS angstrom
Ag 0.0000 0.0000 0.0000
Pt 3.2832 1.7529 2.9915
Br 1.2249 1.9311 1.5555
Br 2.3478 3.5854 4.4343
Br 4.3846 3.5176 1.5986
Br 5.3541 5.6897 4.3844
Br 7.3909 5.6219 1.5487
Br 8.5138 7.2762 4.4275
CELL_PARAMETERS angstrom
6.4726 0.0000 0.0000
3.1722 5.7016 0.0000
0.0939 3.5057 5.9830
```